No. 1
VASP calculation (GGA-PBEsol) on a geometry-optimized Ag3Pb structure.

The structure in POSCAR format:
```
Ag3Pb
1.0
4.2412 0.0000 0.0000
0.0000 4.2412 0.0000
0.0000 0.0000 4.2412
Pb Ag
1 3
Direct
0.0000 0.0000 0.0000 Pb
0.0000 0.5000 0.5000 Ag
0.5000 0.0000 0.5000 Ag
0.5000 0.5000 0.0000 Ag
```

Properties
The density of states at the Fermi level comes out at 1.5 states/eV/f.u. As for the formation energy: 0.0959 eV per atom. As for the space group: Pm-3m (221). As for the uncorrected energy: -3.3871 eV/atom.

***

No. 2
VASP calculation (GGA-PBEsol) on a geometry-optimized Er2B4C structure.

The structure in POSCAR format:
```
Er2B4C
1.0
-2.8339 -0.2836 1.5142
0.4899 -3.5933 3.6795
0.1589 2.8958 4.2755
C B Er
1 4 2
Direct
0.0000 0.0000 0.0000 C
0.5000 0.6351 0.3649 B
0.5000 0.3649 0.6351 B
0.0000 0.2282 0.7718 B
0.0000 0.7718 0.2282 B
0.2653 0.2347 0.2347 Er
0.7347 0.7653 0.7653 Er
```

Properties
The density of states at the Fermi level comes out at 1.5 states/eV/f.u. As for the formation energy: -0.6551 eV per atom. As for the space group: Immm (71). As for the uncorrected energy: -7.4499 eV/atom.

***

No. 3
VASP calculation (GGA-PBEsol) on a geometry-optimized TiSnBr2 structure.

The structure in POSCAR format:
```
TiSnBr2
1.0
-4.4378 1.5746 -1.5110
-2.9162 -2.9920 -2.6459
-4.1074 -1.8709 2.0211
Sn Br Ti
1 2 1
Direct
0.5000 0.5000 0.5000 Sn
0.2500 0.2500 0.2500 Br
0.7500 0.7500 0.7500 Br
0.0000 0.0000 0.0000 Ti
```

Properties
The density of states at the Fermi level comes out at 3.2 states/eV/f.u. The formation energy (no corrections) comes out at 0.04 eV per formula unit. As for the space group: Fm-3m (225). As for the uncorrected energy: -4.0707 eV/atom.

***

No. 4
VASP calculation (GGA-PBEsol) on a geometry-optimized Er3Co2Ge4 structure.

The structure in POSCAR format:
```
Er3Co2Ge4
1.0
4.0771 0.0000 0.0000
-2.0386 5.1947 0.0073
0.0000 -2.3687 7.4733
Er Co Ge
3 2 4
Direct
0.6239 0.2478 0.6928 Er
0.3761 0.7522 0.3072 Er
0.0000 0.0000 0.0000 Er
0.6923 0.3847 0.3737 Co
0.3077 0.6153 0.6263 Co
0.9048 0.8096 0.6010 Ge
0.0952 0.1904 0.3990 Ge
0.2914 0.5828 0.9194 Ge
0.7086 0.4172 0.0806 Ge
```

Properties
The density of states at the Fermi level comes out at 5.5 states/eV/f.u. As for the formation energy: -0.7832 eV per atom. As for the space group: C2/m (12). As for the uncorrected energy: -6.3400 eV/atom.